# Mg3TcMo PBE-GGA relaxed
# ΔE to the lowest computed polymorph	0.547	eV per atom
# energy of formation from the pure elements	1.914	eV/atom
# calculated total energy	-3.28	eV/atom
data_Mg3TcMo
_chemical_formula_sum 'Mg3 Tc1 Mo1'
_space_group_name_H-M_alt 'P m -3 m'
_space_group_IT_number 221
_space_group_name_Hall '-P 4 2 3'
_cell_length_a 4.930
_cell_length_b 4.930
_cell_length_c 4.930
_cell_angle_alpha 90.00
_cell_angle_beta 90.00
_cell_angle_gamma 90.00
loop_
_atom_site_label
_atom_site_fract_x
_atom_site_fract_y
_atom_site_fract_z
_atom_site_occupancy
Mg1 0.000 0.000 0.500 1
Tc1 0.500 0.500 0.500 1
Mo1 0.000 0.000 0.000 1